(1)
Computed, not measured: a geometry-optimized La2ZnInRu structure at the PBE level of DFT.

Lattice parameters (Å, degrees): 5.3445 5.3445 5.0027 90.00 90.00 90.00
Positions (direct):
La1 0.0000 0.5000 0.0000
La2 0.5000 0.0000 0.0000
Zn1 0.0000 0.0000 0.5000
In1 0.5000 0.5000 0.5000
Ru1 0.0000 0.0000 0.0000

Computed properties:
E = -4.8724 eV/atom
energy of formation = -0.2437 eV per atom
mass density = 6.50 g/cm3
space-group type = P4/mmm (123)

(2)
Computed, not measured: a geometry-optimized La2In2S structure at the PBE level of DFT.

Lattice parameters (Å, degrees): 7.6821 7.6821 5.3786 90.00 90.00 90.00
Positions (direct):
La1 0.1694 0.3306 0.0000
La2 0.3306 0.8306 0.0000
La3 0.6694 0.1694 0.0000
La4 0.8306 0.6694 0.0000
In1 0.1375 0.6375 0.5000
In2 0.3625 0.1375 0.5000
In3 0.6375 0.8625 0.5000
In4 0.8625 0.3625 0.5000
S1 0.0000 0.0000 0.0000
S2 0.5000 0.5000 0.0000

Computed properties:
E = -4.7252 eV/atom
mass density = 5.64 g/cm3
ΔE_f (raw) = -402 kJ/mol of formula units
space-group type = P4/mbm (127)

(3)
Computed, not measured: a geometry-optimized La3InS6 structure at the PBE level of DFT.

Lattice parameters (Å, degrees): 14.0165 17.0179 4.0954 90.00 90.00 90.00
Positions (direct):
La1 0.0348 0.2208 0.2470
La2 0.1916 0.6416 0.2460
La3 0.2485 0.3888 0.2425
La4 0.2515 0.8888 0.7575
La5 0.3084 0.1416 0.7540
La6 0.4652 0.7208 0.7530
La7 0.5348 0.2792 0.7530
La8 0.6916 0.8584 0.7540
La9 0.7485 0.1112 0.7575
La10 0.7515 0.6112 0.2425
La11 0.8084 0.3584 0.2460
La12 0.9652 0.7792 0.2470
In1 0.0000 0.0000 0.9214
In2 0.0000 0.5000 0.7461
In3 0.5000 0.0000 0.2539
In4 0.5000 0.5000 0.0786
S1 0.0198 0.3977 0.2460
S2 0.1038 0.9110 0.2630
S3 0.1051 0.1088 0.7488
S4 0.1146 0.7425 0.7473
S5 0.1763 0.2819 0.7445
S6 0.1877 0.5167 0.7456
S7 0.3123 0.0167 0.2544
S8 0.3237 0.7819 0.2555
S9 0.3854 0.2425 0.2527
S10 0.3949 0.6088 0.2512
S11 0.3962 0.4110 0.7370
S12 0.4802 0.8977 0.7540
S13 0.5198 0.1023 0.7540
S14 0.6038 0.5890 0.7370
S15 0.6051 0.3912 0.2512
S16 0.6146 0.7575 0.2527
S17 0.6763 0.2181 0.2555
S18 0.6877 0.9833 0.2544
S19 0.8123 0.4833 0.7456
S20 0.8237 0.7181 0.7445
S21 0.8854 0.2575 0.7473
S22 0.8949 0.8912 0.7488
S23 0.8962 0.0890 0.2630
S24 0.9802 0.6023 0.2460

Computed properties:
E = -6.0245 eV/atom
mass density = 4.92 g/cm3
ΔE_f (raw) = -1733 kJ/mol of formula units
space-group type = P2_12_12 (18)

(4)
Computed, not measured: a geometry-optimized La3InS6 structure at the PBE level of DFT.

Lattice parameters (Å, degrees): 9.0118 9.0118 6.8627 90.00 90.00 102.94
Positions (direct):
La1 0.1011 0.8989 0.5000
La2 0.2117 0.4134 0.4291
La3 0.4134 0.2117 0.9291
La4 0.5866 0.7883 0.4291
La5 0.7883 0.5866 0.9291
La6 0.8989 0.1011 0.0000
In1 0.3035 0.6965 0.8902
In2 0.6965 0.3035 0.3902
S1 0.0648 0.5980 0.7026
S2 0.1388 0.1828 0.7146
S3 0.1828 0.1388 0.2146
S4 0.2823 0.7177 0.2464
S5 0.4020 0.9352 0.7026
S6 0.4660 0.5340 0.7355
S7 0.5340 0.4660 0.2355
S8 0.5980 0.0648 0.2026
S9 0.7177 0.2823 0.7464
S10 0.8172 0.8612 0.7146
S11 0.8612 0.8172 0.2146
S12 0.9352 0.4020 0.2026

Computed properties:
E = -6.0355 eV/atom
mass density = 4.43 g/cm3
ΔE_f (raw) = -1743 kJ/mol of formula units
space-group type = Cmc2_1 (36)

(5)
Computed, not measured: a geometry-optimized La3In5S12 structure at the PBE level of DFT.

Lattice parameters (Å, degrees): 13.8580 13.8580 13.8580 109.47 109.47 109.47
Positions (direct):
La1 0.1250 0.2500 0.3750
La2 0.1250 0.3750 0.7500
La3 0.2500 0.3750 0.1250
La4 0.2500 0.8750 0.6250
La5 0.3750 0.1250 0.2500
La6 0.3750 0.7500 0.1250
La7 0.6250 0.2500 0.8750
La8 0.6250 0.8750 0.7500
La9 0.7500 0.1250 0.3750
La10 0.7500 0.6250 0.8750
La11 0.8750 0.6250 0.2500
La12 0.8750 0.7500 0.6250
In1 0.0000 0.0000 0.0000
In2 0.0000 0.0000 0.5000
In3 0.0000 0.5000 0.0000
In4 0.0000 0.5000 0.5000
In5 0.1250 0.7500 0.8750
In6 0.1250 0.8750 0.2500
In7 0.2500 0.1250 0.8750
In8 0.2500 0.6250 0.3750
In9 0.3750 0.2500 0.6250
In10 0.3750 0.6250 0.7500
In11 0.5000 0.0000 0.0000
In12 0.5000 0.0000 0.5000
In13 0.5000 0.5000 0.0000
In14 0.5000 0.5000 0.5000
In15 0.6250 0.3750 0.2500
In16 0.6250 0.7500 0.3750
In17 0.7500 0.3750 0.6250
In18 0.7500 0.8750 0.1250
In19 0.8750 0.1250 0.7500
In20 0.8750 0.2500 0.1250
S1 0.0384 0.2129 0.1268
S2 0.0384 0.3254 0.9115
S3 0.0861 0.7129 0.6746
S4 0.0861 0.8732 0.4115
S5 0.0885 0.6268 0.4139
S6 0.0885 0.9616 0.6746
S7 0.1268 0.0384 0.2129
S8 0.1268 0.5885 0.9139
S9 0.1746 0.2129 0.5861
S10 0.1746 0.4616 0.5885
S11 0.2129 0.1268 0.0384
S12 0.2129 0.5861 0.1746
S13 0.2871 0.3254 0.9139
S14 0.2871 0.4616 0.3732
S15 0.3254 0.9115 0.0384
S16 0.3254 0.9139 0.2871
S17 0.3732 0.2871 0.4616
S18 0.3732 0.5861 0.9115
S19 0.4115 0.0861 0.8732
S20 0.4115 0.8254 0.5384
S21 0.4139 0.0885 0.6268
S22 0.4139 0.8254 0.7871
S23 0.4616 0.3732 0.2871
S24 0.4616 0.5885 0.1746
S25 0.5384 0.4115 0.8254
S26 0.5384 0.6268 0.7129
S27 0.5861 0.1746 0.2129
S28 0.5861 0.9115 0.3732
S29 0.5885 0.1746 0.4616
S30 0.5885 0.9139 0.1268
S31 0.6268 0.4139 0.0885
S32 0.6268 0.7129 0.5384
S33 0.6746 0.0861 0.7129
S34 0.6746 0.0885 0.9616
S35 0.7129 0.5384 0.6268
S36 0.7129 0.6746 0.0861
S37 0.7871 0.4139 0.8254
S38 0.7871 0.8732 0.9616
S39 0.8254 0.5384 0.4115
S40 0.8254 0.7871 0.4139
S41 0.8732 0.4115 0.0861
S42 0.8732 0.9616 0.7871
S43 0.9115 0.0384 0.3254
S44 0.9115 0.3732 0.5861
S45 0.9139 0.1268 0.5885
S46 0.9139 0.2871 0.3254
S47 0.9616 0.6746 0.0885
S48 0.9616 0.7871 0.8732

Computed properties:
E = -5.0767 eV/atom
mass density = 4.46 g/cm3
ΔE_f (raw) = -2270 kJ/mol of formula units
space-group type = Ia-3d (230)

(6)
Computed, not measured: a geometry-optimized LaInS3 structure at the PBE level of DFT.

Lattice parameters (Å, degrees): 7.4272 5.1209 7.5866 90.00 106.28 90.00
Positions (direct):
La1 0.0473 0.2500 0.2564
La2 0.9527 0.7500 0.7436
In1 0.4829 0.2500 0.6835
In2 0.5171 0.7500 0.3165
S1 0.1440 0.2500 0.6643
S2 0.1843 0.7500 0.1131
S3 0.4605 0.2500 0.3377
S4 0.5395 0.7500 0.6623
S5 0.8157 0.2500 0.8869
S6 0.8560 0.7500 0.3357

Computed properties:
E = -5.3203 eV/atom
mass density = 4.20 g/cm3
ΔE_f (raw) = -632 kJ/mol of formula units
space-group type = P2_1/m (11)

(7)
Computed, not measured: a geometry-optimized La2InS3 structure at the PBE level of DFT.

Lattice parameters (Å, degrees): 8.6469 8.6469 8.6469 154.95 146.51 42.27
Positions (direct):
La1 0.1461 0.1461 0.0000
La2 0.8539 0.8539 0.0000
In1 0.5000 0.5000 0.0000
S1 0.0000 0.5000 0.5000
S2 0.3225 0.3225 0.0000
S3 0.6775 0.6775 0.0000

Computed properties:
E = -5.6397 eV/atom
mass density = 5.39 g/cm3
ΔE_f (raw) = -855 kJ/mol of formula units
space-group type = Immm (71)

(8)
Computed, not measured: a geometry-optimized La4In2S structure at the PBE level of DFT.

Lattice parameters (Å, degrees): 8.9696 8.9696 8.9696 144.37 144.37 51.28
Positions (direct):
La1 0.0000 0.5000 0.5000
La2 0.1753 0.1753 0.0000
La3 0.5000 0.0000 0.5000
La4 0.8247 0.8247 0.0000
In1 0.3763 0.3763 0.0000
In2 0.6237 0.6237 0.0000
S1 0.0000 0.0000 0.0000

Computed properties:
E = -4.9305 eV/atom
mass density = 5.57 g/cm3
ΔE_f (raw) = -502 kJ/mol of formula units
space-group type = I4/mmm (139)

(9)
Computed, not measured: a geometry-optimized LaInS3 structure at the PBE level of DFT.

Lattice parameters (Å, degrees): 7.6812 4.0245 7.8931 90.00 97.08 90.00
Positions (direct):
La1 0.1252 0.2500 0.2780
La2 0.8748 0.7500 0.7220
In1 0.3482 0.7500 0.8389
In2 0.6518 0.2500 0.1611
S1 0.1211 0.2500 0.8936
S2 0.1986 0.7500 0.5353
S3 0.4133 0.7500 0.1698
S4 0.5867 0.2500 0.8302
S5 0.8014 0.2500 0.4647
S6 0.8789 0.7500 0.1064

Computed properties:
E = -5.3478 eV/atom
mass density = 4.80 g/cm3
ΔE_f (raw) = -646 kJ/mol of formula units
space-group type = P2_1/m (11)

(10)
Computed, not measured: a geometry-optimized LaIn2S structure at the PBE level of DFT.

Lattice parameters (Å, degrees): 6.8372 6.8372 6.8372 100.55 100.55 129.32
Positions (direct):
La1 0.0000 0.0000 0.0000
La2 0.7500 0.2500 0.5000
In1 0.1728 0.6250 0.0478
In2 0.3750 0.4228 0.5478
In3 0.5772 0.1250 0.9522
In4 0.8750 0.8272 0.4522
S1 0.2500 0.7500 0.5000
S2 0.5000 0.5000 0.0000

Computed properties:
E = -4.1534 eV/atom
mass density = 5.95 g/cm3
ΔE_f (raw) = -201 kJ/mol of formula units
space-group type = I-42d (122)

(11)
Computed, not measured: a geometry-optimized LaInS2 structure at the PBE level of DFT.

Lattice parameters (Å, degrees): 6.8407 6.8407 6.8407 111.40 111.40 105.68
Positions (direct):
La1 0.0000 0.0000 0.0000
La2 0.7500 0.2500 0.5000
In1 0.2500 0.7500 0.5000
In2 0.5000 0.5000 0.0000
S1 0.0951 0.6250 0.9701
S2 0.3750 0.3451 0.4701
S3 0.6549 0.1250 0.0299
S4 0.8750 0.9049 0.5299

Computed properties:
E = -5.1713 eV/atom
mass density = 4.30 g/cm3
ΔE_f (raw) = -460 kJ/mol of formula units
space-group type = I-42d (122)

(12)
Computed, not measured: a geometry-optimized La3InS structure at the PBE level of DFT.

Lattice parameters (Å, degrees): 5.5028 5.5028 5.5028 90.00 90.00 90.00
Positions (direct):
La1 0.0000 0.0000 0.5000
La2 0.0000 0.5000 0.0000
La3 0.5000 0.0000 0.0000
In1 0.5000 0.5000 0.5000
S1 0.0000 0.0000 0.0000

Computed properties:
E = -5.2795 eV/atom
mass density = 5.62 g/cm3
ΔE_f (raw) = -458 kJ/mol of formula units
space-group type = Pm-3m (221)